(1)
## CsInAsIr (PBE)

Data for a geometry-optimized CsInAsIr structure.

## Properties
The space group is No. 129. The calculation puts the total energy at -4.553 eV per atom. Its density of states at the Fermi level is 4.198 states/eV per cell. The value obtained for the total magnetization is 0.0000 μB per atom.

```
data_CsInAsIr
_cell_length_a 4.147
_cell_length_b 4.147
_cell_length_c 14.364
_cell_angle_alpha 90.00
_cell_angle_beta 90.00
_cell_angle_gamma 90.00
_symmetry_space_group_name_H-M 'P 1'
_symmetry_Int_Tables_number 1
_symmetry_space_group_name_Hall 'P 1'
loop_
_atom_site_label
_atom_site_type_symbol
_atom_site_fract_x
_atom_site_fract_y
_atom_site_fract_z
Cs1 Cs 0.250 0.250 0.245
Cs2 Cs 0.750 0.750 0.755
In1 In 0.250 0.750 0.500
In2 In 0.750 0.250 0.500
As1 As 0.250 0.250 0.905
As2 As 0.750 0.750 0.095
Ir1 Ir 0.250 0.750 0.000
Ir2 Ir 0.750 0.250 0.000
```



(2)
## MgReIr (PBE)

Data for a geometry-optimized MgReIr structure.

## Properties
The space group is No. 156. The calculation puts the total energy at -7.571 eV per atom. Its density of states at the Fermi level is 3.310 states/eV per cell. The value obtained for the total magnetization is 0.0000 μB per atom. The excess energy over the best structure of this formula in the dataset comes out at 236.9 meV/atom.

```
data_MgReIr
_cell_length_a 2.797
_cell_length_b 2.797
_cell_length_c 6.918
_cell_angle_alpha 90.00
_cell_angle_beta 90.00
_cell_angle_gamma 120.00
_symmetry_space_group_name_H-M 'P 1'
_symmetry_Int_Tables_number 1
_symmetry_space_group_name_Hall 'P 1'
loop_
_atom_site_label
_atom_site_type_symbol
_atom_site_fract_x
_atom_site_fract_y
_atom_site_fract_z
Mg1 Mg 0.000 0.000 0.000
Re1 Re 0.667 0.333 0.354
Ir1 Ir 0.333 0.667 0.661
```



(3)
## Ho4Tm3Pd4 (PBE)

Data for a geometry-optimized Ho4Tm3Pd4 structure.

## Properties
The space group is No. 71. The calculation puts the total energy at -5.382 eV per atom. Its density of states at the Fermi level is 11.641 states/eV per cell. The value obtained for the total magnetization is 0.0000 μB per atom.

```
data_Ho4Tm3Pd4
_cell_length_a 9.312
_cell_length_b 9.312
_cell_length_c 9.312
_cell_angle_alpha 156.55
_cell_angle_beta 121.91
_cell_angle_gamma 63.52
_symmetry_space_group_name_H-M 'P 1'
_symmetry_Int_Tables_number 1
_symmetry_space_group_name_Hall 'P 1'
loop_
_atom_site_label
_atom_site_type_symbol
_atom_site_fract_x
_atom_site_fract_y
_atom_site_fract_z
Ho1 Ho 0.024 0.838 0.186
Ho2 Ho 0.348 0.162 0.186
Ho3 Ho 0.652 0.838 0.814
Ho4 Ho 0.976 0.162 0.814
Tm1 Tm 0.000 0.500 0.500
Tm2 Tm 0.395 0.395 0.000
Tm3 Tm 0.605 0.605 0.000
Pd1 Pd 0.251 0.751 0.500
Pd2 Pd 0.323 0.000 0.323
Pd3 Pd 0.677 0.000 0.677
Pd4 Pd 0.749 0.249 0.500
```



(4)
## Nd2In2BRh4 (PBE)

Data for a geometry-optimized Nd2In2BRh4 structure.

## Properties
The space group is No. 139. The calculation puts the total energy at -6.156 eV per atom. Its density of states at the Fermi level is 5.415 states/eV per cell. The value obtained for the total magnetization is 0.0000 μB per atom.

```
data_Nd2In2BRh4
_cell_length_a 6.128
_cell_length_b 6.128
_cell_length_c 6.128
_cell_angle_alpha 117.57
_cell_angle_beta 117.57
_cell_angle_gamma 94.27
_symmetry_space_group_name_H-M 'P 1'
_symmetry_Int_Tables_number 1
_symmetry_space_group_name_Hall 'P 1'
loop_
_atom_site_label
_atom_site_type_symbol
_atom_site_fract_x
_atom_site_fract_y
_atom_site_fract_z
Nd1 Nd 0.250 0.750 0.500
Nd2 Nd 0.750 0.250 0.500
In1 In 0.190 0.190 0.000
In2 In 0.810 0.810 0.000
B1 B 0.500 0.500 0.000
Rh1 Rh 0.265 0.265 0.530
Rh2 Rh 0.265 0.735 0.000
Rh3 Rh 0.735 0.265 0.000
Rh4 Rh 0.735 0.735 0.470
```